14
Lattice="-1.712 2.078 2.359 -4.258 -7.421 3.445 11.507 0.919 7.546" Properties=species:S:1:pos:R:3 comment="SmHo5Tm | Alexandria via LeMat-Bulk | GGA-PBE | optimized geometry" formation_energy_mev_per_atom=65 vol_a3_per_atom=31.6 n_ef_per_ev_cell=22.3 de_polymorph_mev_per_atom=0 dft_energy_ev_per_fu=-31.6 pbc="T T T"
Sm -0.319 0.900 3.050
Sm 5.856 -5.325 10.300
Ho 3.885 0.845 3.434
Ho 7.978 0.851 9.117
Ho 3.180 -0.414 6.747
Ho -1.287 -2.481 2.610
Ho 6.399 -1.418 7.253
Ho -0.862 -3.006 6.097
Ho 6.824 -1.943 10.740
Ho 2.357 -4.011 6.603
Ho -2.441 -5.276 4.233
Ho 1.652 -5.270 9.916
Tm 1.619 -1.747 4.072
Tm 3.918 -2.677 9.277

12
Lattice="3.486 0.000 0.000 0.000 11.142 0.000 0.000 -5.571 9.649" Properties=species:S:1:pos:R:3 comment="SmHo9Tm2 | Alexandria via LeMat-Bulk | GGA-PBE | optimized geometry" formation_energy_mev_per_atom=42 vol_a3_per_atom=31.2 n_ef_per_ev_cell=16.5 de_polymorph_mev_per_atom=19 dft_energy_ev_per_fu=-54.4 pbc="T T T"
Sm 0.000 0.000 0.000
Ho 0.000 -2.785 4.825
Ho 0.000 2.785 4.825
Ho 0.000 5.571 0.000
Ho 1.743 2.978 1.719
Ho 1.743 -2.593 7.930
Ho 1.743 0.000 3.438
Ho 1.743 5.571 6.211
Ho 1.743 8.164 1.719
Ho 1.743 2.593 7.930
Tm 0.000 0.000 6.433
Tm 0.000 5.571 3.216

12
Lattice="4.850 0.020 -1.416 -1.367 8.774 -4.570 0.109 -0.778 9.389" Properties=species:S:1:pos:R:3 comment="Sm6HoTm5 | Alexandria via LeMat-Bulk | GGA-PBE | optimized geometry" formation_energy_mev_per_atom=19 vol_a3_per_atom=31.9 n_ef_per_ev_cell=15.7 dft_energy_ev_per_fu=-55.0 pbc="T T T"
Tm 3.042 1.217 1.425
Tm 1.233 2.412 4.262
Tm -0.683 4.387 -2.285
Tm 2.359 5.605 -0.859
Tm 0.550 6.800 1.978
Ho 0.000 0.000 0.000
Sm 3.317 4.613 2.414
Sm 4.000 0.232 4.696
Sm 1.509 5.807 5.256
Sm 2.083 2.209 -1.853
Sm -0.408 7.784 -1.293
Sm 0.275 3.404 0.988

11
Lattice="-8.218 -1.692 7.654 13.398 -1.740 -7.893 15.063 2.342 -3.510" Properties=species:S:1:pos:R:3 comment="Sm8HoTm2 | Alexandria via LeMat-Bulk | GGA-PBE | optimized geometry" formation_energy_mev_per_atom=17 vol_a3_per_atom=32.8 n_ef_per_ev_cell=15.8 de_polymorph_mev_per_atom=0 dft_energy_ev_per_fu=-51.1 pbc="T T T"
Sm 10.930 -2.109 -2.187
Sm 7.371 -1.822 -2.586
Sm 16.693 -0.793 -4.139
Sm 3.550 -0.297 0.390
Sm 12.872 0.732 -1.163
Sm 9.314 1.019 -1.562
Sm 13.125 -0.507 -4.536
Sm 7.119 -0.583 0.787
Ho 0.000 0.000 0.000
Tm 18.882 0.804 -6.473
Tm 1.361 -1.895 2.724

10
Lattice="3.448 0.000 -0.699 -0.114 11.076 -0.565 -0.020 0.454 8.722" Properties=species:S:1:pos:R:3 comment="Sm4Ho5Tm | Alexandria via LeMat-Bulk | GGA-PBE | optimized geometry" formation_energy_mev_per_atom=189 vol_a3_per_atom=33.4 n_ef_per_ev_cell=13.2 de_polymorph_mev_per_atom=0 dft_energy_ev_per_fu=-44.3 pbc="T T T"
Sm 2.224 2.913 2.109
Sm 3.299 3.189 7.381
Sm 1.090 8.618 5.349
Sm 0.015 8.342 0.076
Ho 0.529 6.280 2.597
Ho 0.482 10.666 2.365
Ho 2.832 0.865 5.093
Ho 1.667 5.538 -0.632
Ho 2.785 5.251 4.861
Tm 1.724 0.000 -0.350

11
Lattice="6.629 -0.002 -1.697 0.004 9.603 0.004 -2.107 -0.002 6.510" Properties=species:S:1:pos:R:3 comment="Sm7Ho2Tm2 | Alexandria via LeMat-Bulk | GGA-PBE | optimized geometry" formation_energy_mev_per_atom=347 vol_a3_per_atom=34.6 n_ef_per_ev_cell=18.3 de_polymorph_mev_per_atom=232 dft_energy_ev_per_fu=-47.3 pbc="T T T"
Sm 5.575 3.016 1.562
Sm 1.213 6.581 5.662
Sm -1.048 6.583 3.255
Sm 3.313 3.018 -0.845
Sm 0.000 0.000 0.000
Sm 2.266 7.833 2.408
Sm 2.260 1.766 2.409
Ho 3.391 4.798 3.609
Ho 1.135 4.800 1.208
Tm 4.263 9.600 0.534
Tm 0.263 -0.002 4.283

30
Lattice="6.517 -1.550 -0.358 -1.550 6.517 -0.358 -0.399 -0.399 23.584" Properties=species:S:1:pos:R:3 comment="SmHo12Tm2 | Alexandria via LeMat-Bulk | GGA-PBE | optimized geometry" formation_energy_mev_per_atom=153 vol_a3_per_atom=31.4 n_ef_per_ev_cell=54.0 dft_energy_ev_per_fu=-66.3 pbc="T T T"
Sm 3.259 -0.775 -0.179
Sm 5.343 1.310 23.047
Ho 2.538 2.538 18.567
Ho 0.054 0.054 18.925
Ho 3.891 3.891 21.381
Ho 0.046 4.079 20.010
Ho 0.130 0.129 7.666
Ho 0.489 4.523 2.858
Ho 3.802 -0.232 13.309
Ho 2.613 2.613 7.308
Ho 1.408 1.408 21.739
Ho 3.160 3.160 1.129
Ho 0.514 0.514 13.018
Ho 4.800 0.766 9.560
Ho 4.439 4.439 15.203
Ho 1.571 1.571 10.209
Ho 0.677 0.677 1.487
Ho 4.055 4.055 9.851
Ho 2.997 2.997 12.660
Ho 4.514 4.514 3.943
Ho -0.232 3.802 13.308
Ho 1.955 1.955 15.561
Ho 4.079 0.046 20.010
Ho 2.030 2.030 4.301
Ho 0.766 4.800 9.560
Ho 4.523 0.489 2.859
Tm 3.270 -0.764 6.315
Tm -0.764 3.270 6.316
Tm 5.332 1.299 16.553
Tm 1.299 5.332 16.553

12
Lattice="4.956 0.000 0.000 0.000 4.956 0.000 0.000 0.000 14.866" Properties=species:S:1:pos:R:3 comment="SmHo2Tm9 | Alexandria via LeMat-Bulk | GGA-PBE | optimized geometry" formation_energy_mev_per_atom=27 vol_a3_per_atom=30.4 n_ef_per_ev_cell=17.1 de_polymorph_mev_per_atom=0 dft_energy_ev_per_fu=-53.8 pbc="T T T"
Sm 0.000 0.000 0.000
Ho 0.000 0.000 4.963
Ho 0.000 0.000 9.903
Tm 2.478 2.478 0.000
Tm 2.478 2.478 4.972
Tm 2.478 2.478 9.894
Tm 2.478 0.000 2.500
Tm 2.478 0.000 7.433
Tm 2.478 0.000 12.366
Tm 0.000 2.478 2.500
Tm 0.000 2.478 7.433
Tm 0.000 2.478 12.366